Entry 1:
First-principles (PBE-GGA) data for a geometry-optimized PmY2Tm3 structure, as listed in the Alexandria database.

POSCAR file:
```
PmY2Tm3
1.0
-3.115 -0.939 5.903
6.644 1.486 3.742
0.025 7.670 1.234
Pm Y Tm
2 4 6
Cartesian
3.129 7.046 9.113
-0.035 1.033 2.638
3.434 4.008 6.889
3.480 2.403 2.810
1.153 6.139 6.024
1.199 4.534 1.945
5.250 4.836 4.124
1.665 1.582 5.562
2.974 6.962 3.262
-0.611 3.708 4.700
4.634 7.459 6.161
-1.569 0.610 5.646
```

Values from the calculation:
- Offset from the most stable computed form: 198.6 meV/atom
- Formation energy: 0.225 eV/atom
- Symmetry: Cmc2_1, No. 36

=====

Entry 2:
First-principles (PBE-GGA) data for a geometry-optimized PmY5Tm12 structure, as listed in the Alexandria database.

POSCAR file:
```
PmY5Tm12
1.0
10.555 -0.001 0.004
5.279 9.015 -1.496
-0.002 -1.050 6.010
Pm Y Tm
1 5 12
Cartesian
-0.002 -1.050 6.010
5.276 -0.525 3.007
5.277 5.480 2.013
10.554 2.484 2.506
10.553 4.959 5.011
5.278 3.005 -0.492
8.781 -0.526 3.009
1.772 -0.525 3.006
7.041 -1.051 6.013
3.512 0.000 0.002
7.048 4.955 5.014
14.058 4.955 5.017
1.773 3.009 -0.498
8.783 3.009 -0.495
7.042 2.482 2.511
12.320 5.481 2.009
3.511 2.483 2.510
8.789 5.481 2.007
```

Values from the calculation:
- Formation energy: 0.028 eV/atom
- Symmetry: C2/m, No. 12

=====

Entry 3:
First-principles (PBE-GGA) data for a geometry-optimized Pm3Y7Tm2 structure, as listed in the Alexandria database.

POSCAR file:
```
Pm3Y7Tm2
1.0
-3.430 -0.671 -0.985
0.383 -5.140 2.168
-4.880 7.487 18.610
Pm Y Tm
3 7 2
Cartesian
-1.523 -2.905 0.592
-6.082 4.403 11.512
-1.845 -2.727 8.281
-3.568 1.507 11.412
-4.359 0.169 8.381
-5.072 0.778 17.161
0.000 0.000 0.000
-2.855 0.898 2.633
-0.700 -1.606 3.527
-7.227 3.282 16.267
-4.597 2.627 14.249
-3.330 -0.951 5.545
```

Values from the calculation:
- Offset from the most stable computed form: 142.6 meV/atom
- Formation energy: 0.231 eV/atom
- Symmetry: P2/m, No. 10

=====

Entry 4:
First-principles (PBE-GGA) data for a geometry-optimized Pm6YTm4 structure, as listed in the Alexandria database.

POSCAR file:
```
Pm6YTm4
1.0
6.644 0.000 0.000
0.000 6.644 0.000
-3.322 -3.322 8.538
Pm Y Tm
6 1 4
Cartesian
4.578 2.066 3.024
2.066 4.578 3.024
1.256 1.256 5.514
0.000 3.322 0.000
-1.256 -1.256 5.514
3.322 0.000 0.000
3.322 3.322 0.000
-2.131 2.131 6.388
5.453 5.453 2.150
2.131 -2.131 6.388
1.191 1.191 2.150
```

Values from the calculation:
- Formation energy: 0.310 eV/atom
- Symmetry: I-42m, No. 121